[1]
Density functional theory data (PBE) for an optimized crystal structure of Dy3HoC.

Cell: 5.0467 5.0467 5.0467 Å, 90.00 90.00 90.00°
Closest atoms and distances in Å follow each position.
Element x y z (fractional)
C (0.0000, 0.0000, 0.0000)  6 Dy 2.52
Ho (0.5000, 0.5000, 0.5000)  12 Dy 3.57
Dy (0.0000, 0.5000, 0.0000)  2 C 2.52
Dy (0.0000, 0.0000, 0.5000)  2 C 2.52
Dy (0.5000, 0.0000, 0.0000)  2 C 2.52

Summary:
* uncorrected energy: -27.665 eV per cell

***

[2]
Density functional theory data (PBE) for an optimized crystal structure of Ba2GeAuF.

Cell: 5.7112 5.7112 4.4201 Å, 90.00 90.00 90.00°
Closest atoms and distances in Å follow each position.
Element x y z (fractional)
Ge (0.0000, 0.0000, 0.5000)  2 F 2.21
Au (0.5000, 0.5000, 0.5000)  8 Ba 3.61, 4 Ge 4.04
Ba (0.0000, 0.5000, 0.0000)  2 F 2.86
Ba (0.5000, 0.0000, 0.0000)  2 F 2.86
F (0.0000, 0.0000, 0.0000)  2 Ge 2.21

Summary:
* E_form (uncorrected): -1.141 eV per atom

***

[3]
Density functional theory data (PBE) for an optimized crystal structure of Ba3HgP.

Cell: 6.2455 6.2455 6.2455 Å, 90.00 90.00 90.00°
Closest atoms and distances in Å follow each position.
Element x y z (fractional)
P (0.0000, 0.0000, 0.0000)  6 Ba 3.12
Hg (0.5000, 0.5000, 0.5000)  12 Ba 4.42
Ba (0.0000, 0.5000, 0.0000)  2 P 3.12
Ba (0.0000, 0.0000, 0.5000)  2 P 3.12
Ba (0.5000, 0.0000, 0.0000)  2 P 3.12

Summary:
* uncorrected energy: -14.088 eV per cell

***

Table of spin magnetization (Bohr magnetons per cell), in record order: 0.00; 0.00; 0.00